First-principles (PBE) data for crystalline Lu4SnPN2 at its relaxed geometry, as listed in OQMD.

Mass density: 10.02 g/cm3
Uncorrected energy: -6.8661 eV/atom

Structure (extended XYZ):
```
8
Lattice="3.5253 0.0000 0.0000 -1.7627 3.0530 0.0000 0.0000 0.0000 13.5183" Properties=species:S:1:pos:R:3 pbc="T T T"
Lu 0.0000 0.0000 1.7492
Lu 0.0000 0.0000 11.7691
Lu 0.0000 2.0354 4.3311
Lu 0.0000 2.0354 9.1871
Sn 0.0000 0.0000 6.7591
P 0.0000 2.0354 0.0000
N 1.7627 1.0177 3.1494
N 1.7627 1.0177 10.3688
```